EuAg2Pb: relaxed, PBEsol.

Cell: 5.037 5.037 5.037 Å, 60.00 60.00 60.00°
Site moments in Bohr magnetons follow the coordinates.
Fractional positions:
1 Ag 0.750 0.750 0.750  0.01
2 Eu 0.500 0.500 0.500  6.75
3 Pb 0.000 0.000 0.000  -0.01
4 Ag 0.250 0.250 0.250  0.01

Calculated values
* crystal system: cubic
* total magnetic moment: 1.73 μB per atom
* space group: Fm-3m
* ΔH_f (0 K): -0.27 eV/atom